Pr6P3S2Br | PBE | relaxed

Geometry as POSCAR:
```
Pr6P3S2Br
1.0
-2.694 -2.264 -2.232
5.447 -6.475 -0.007
-3.736 -0.236 8.640
Pr P S Br
6 3 2 1
Direct
0.323 0.917 0.646
0.665 0.588 0.331
0.677 0.083 0.354
0.999 0.276 0.997
0.001 0.724 0.003
0.335 0.412 0.669
0.500 0.500 0.000
0.836 0.167 0.672
0.164 0.833 0.328
0.834 0.669 0.668
0.166 0.331 0.332
0.500 0.000 0.000
```

Results
Raw formation energy ... -1.71 eV per atom
Spin magnetization ... 0.000 μB per cell
Final energy ... -6.2845 eV per atom